No. 1
# Ac4Te3Os

An optimized crystal structure of Ac4Te3Os (GGA-PBE, Alexandria).

Summary:
N(E_F)   0.6031 states/eV per atom
E_tot   -5.7251 eV per atom
Total magnetic moment   0.0 μB per formula unit
Uncorrected formation energy   -1089 meV per atom
Space-group type   No. 65

abc: 4.5373 8.2261 8.2261
angles: 107.38 90.00 90.00
Last column: nearest neighbours and their distance in Å.
Sites, in units of the cell vectors:
Te  0.0000  0.0000  0.5000  6 Ac 3.33-3.35
Ac  0.5000  0.2216  0.7784  1 Os 2.94
Ac  0.5000  0.7784  0.2216  1 Os 2.94
Ac  0.0000  0.7844  0.7844  2 Os 3.09, 2 Te 3.33
Te  0.0000  0.5000  0.0000  6 Ac 3.33-3.35
Ac  0.0000  0.2156  0.2156  2 Os 3.09, 2 Te 3.33
Os  0.5000  0.0000  0.0000  6 Ac 2.94-3.09
Te  0.5000  0.5000  0.5000  6 Ac 3.58-3.69

---

No. 2
# Ba2SbAs

An optimized crystal structure of Ba2SbAs (GGA-PBE, Alexandria).

Summary:
N(E_F)   0.9103 states/eV per atom
E_tot   -3.5163 eV per atom
Total magnetic moment   0.0 μB per formula unit
Uncorrected formation energy   -362 meV per atom
Space-group type   No. 216

abc: 5.7404 5.7404 5.7404
angles: 60.00 60.00 60.00
Last column: nearest neighbours and their distance in Å.
Sites, in units of the cell vectors:
Sb  0.7500  0.7500  0.7500  4 As 3.52, 4 Ba 3.52
Ba  0.2500  0.2500  0.2500  4 Ba 3.52, 4 As 3.52
As  0.5000  0.5000  0.5000  4 Sb 3.52, 4 Ba 3.52
Ba  0.0000  0.0000  0.0000  4 Ba 3.52, 4 Sb 3.52

---

- Which formula does entry 1 have?
  Ac4Te3Os

---

- Among the records above, which one has the lowest N(E_F)?
  Ac4Te3Os

---

- Which of these has the highest E_tot?
  Ba2SbAs

---

- uncorrected formation energy of number 2 (Ba2SbAs)?
  -362 meV per atom